[1]
{"formula": "LiMn2CdH", "functional": "PBE-GGA", "state": "relaxed", "lattice_angstrom": [[3.8380, 0.0000, 0.0000], [0.0000, 3.8380, 0.0000], [0.0000, 0.0000, 4.2412]], "species": ["Li", "Mn", "Mn", "Cd", "H"], "fractional_positions": [[0.0000, 0.0000, 0.0000], [0.0000, 0.5000, 0.5000], [0.5000, 0.0000, 0.5000], [0.5000, 0.5000, 0.0000], [0.0000, 0.0000, 0.5000]], "crystal_system": "tetragonal", "dft_energy_ev_per_cell": -24.00}



[2]
{"formula": "ZnHgAs", "functional": "PBE-GGA", "state": "relaxed", "lattice_angstrom": [[-1.5545, 1.9356, 6.2553], [1.5545, -1.9356, 6.2553], [1.5545, 1.9356, -6.2553]], "species": ["Zn", "Hg", "As"], "fractional_positions": [[0.0000, 0.0000, 0.0000], [0.2090, 0.2090, 0.0000], [0.4283, 0.4283, 0.0000]], "e_form_mev_per_atom": 97.6, "crystal_system": "orthorhombic", "dft_energy_ev_per_cell": -5.93}



[3]
{"formula": "CrAuN2", "functional": "PBE-GGA", "state": "relaxed", "lattice_angstrom": [[1.5797, 0.9120, 6.0196], [-1.5797, 0.9120, 6.0196], [0.0000, -1.8241, 6.0196]], "species": ["Cr", "Au", "N", "N"], "fractional_positions": [[0.0000, 0.0000, 0.0000], [0.5000, 0.5000, 0.5000], [0.0992, 0.0992, 0.0992], [0.9008, 0.9008, 0.9008]], "crystal_system": "trigonal", "dft_energy_ev_per_cell": -24.39}



[4]
{"formula": "LaCeCo2", "functional": "PBE-GGA", "state": "relaxed", "lattice_angstrom": [[2.5793, 1.4892, 3.6409], [-2.5793, 1.4892, 3.6409], [0.0000, -2.9784, 3.6409]], "species": ["La", "Ce", "Co", "Co"], "fractional_positions": [[0.0000, 0.0000, 0.0000], [0.5000, 0.5000, 0.5000], [0.2950, 0.2950, 0.2950], [0.7050, 0.7050, 0.7050]], "e_form_mev_per_atom": -103.0, "crystal_system": "trigonal", "dft_energy_ev_per_cell": -25.49}



Number 1: energy relative to the lowest polymorph listed for this composition 0.0 kJ/mol of formula units. Number 2: energy relative to the lowest polymorph listed for this composition 18.6 kJ/mol of formula units. Number 3: energy relative to the lowest polymorph listed for this composition 436.1 kJ/mol of formula units. Number 4: energy relative to the lowest polymorph listed for this composition 35.4 kJ/mol of formula units.